[1]
Zr6CS3N2 | Alexandria via LeMat-Bulk | GGA-PBE | relaxed; energy = -8.9255 eV per atom; uncorrected formation energy = -1463 meV per atom; N(E_F) = 2.675 states/eV/f.u.; total magnetic moment = 0.0 μB per formula unit; crystal system = monoclinic; symmetry = No. 12
1.0
-2.4535 -4.2235 3.4251
4.8223 -1.2486 -3.2826
2.7605 3.4812 4.5382
Zr S C N
6 3 1 2
Cartesian
2.8342 -1.8965 4.8825
-0.1267 -1.0847 2.0309
2.8631 1.3376 3.6989
2.2662 -3.3286 0.9818
5.2559 -0.9063 2.6498
2.2951 -0.0945 -0.2018
2.5646 -0.9955 2.3404
0.1285 -1.9916 4.5863
5.0008 0.0006 0.0944
0.0000 0.0000 0.0000
2.3999 -2.2391 -1.0493
-0.0311 -3.2331 1.1918

[2]
AgSe2Cl | Alexandria via LeMat-Bulk | GGA-PBE | relaxed; energy = -3.0351 eV per atom; uncorrected formation energy = -118 meV per atom; N(E_F) = 1.613 states/eV/f.u.; total magnetic moment = 0.0 μB per formula unit; crystal system = tetragonal; symmetry = No. 99
1.0
3.6584 0.0000 0.0000
0.0000 3.6584 0.0000
0.0000 0.0000 8.1260
Cl Se Ag
1 2 1
Cartesian
1.8292 1.8292 5.1163
1.8292 1.8292 0.9841
0.0000 0.0000 1.6735
0.0000 0.0000 4.4150

[3]
Sb2Te2Se | Alexandria via LeMat-Bulk | GGA-PBE | relaxed; energy = -3.7946 eV per atom; uncorrected formation energy = -192 meV per atom; N(E_F) = 0.063 states/eV/f.u.; total magnetic moment = 0.0 μB per formula unit; crystal system = trigonal; symmetry = No. 166
1.0
-7.2058 5.5928 -5.5457
-9.5950 2.4587 -3.9809
-8.7648 5.8766 -1.6127
Se Te Sb
1 2 2
Cartesian
0.0000 0.0000 0.0000
-19.9496 10.8685 -8.6923
-5.6160 3.0596 -2.4470
-9.9951 5.4453 -4.3550
-15.5705 8.4828 -6.7843

[4]
CaTaNi2Cl | Alexandria via LeMat-Bulk | GGA-PBE | relaxed; energy = -4.6497 eV per atom; uncorrected formation energy = 803 meV per atom; N(E_F) = 6.284 states/eV/f.u.; total magnetic moment = 1.5 μB per formula unit; crystal system = tetragonal; symmetry = No. 123
1.0
4.3484 0.0000 0.0000
0.0000 4.8310 0.0000
0.0000 0.0000 4.3484
Cl Ni Ta Ca
1 2 1 1
Cartesian
0.0000 0.0000 0.0000
0.0000 0.0000 2.1742
2.1742 0.0000 0.0000
2.1742 2.4155 2.1742
0.0000 2.4155 0.0000

Question: What is the formula in the third record?
Answer: Sb2Te2Se